# Ce2Nd3UP6, optimized geometry, DFT PBE-GGA
# total DFT energy (no corrections)	-7.2549	eV per atom
# total magnetization	6.3	μB per cell
# DFT formation energy	-1.43	eV/atom
# Fermi-level density of states	1.43	states/eV/atom
data_Ce2Nd3UP6
_symmetry_space_group_name_H-M 'C 1 2/m 1'
_symmetry_Int_Tables_number 12
_symmetry_space_group_name_Hall '-C 2y'
_cell_length_a 7.091
_cell_length_b 12.284
_cell_length_c 7.113
_cell_angle_alpha 90.00
_cell_angle_beta 109.41
_cell_angle_gamma 90.00
loop_
_atom_site_label
_atom_site_fract_x
_atom_site_fract_y
_atom_site_fract_z
_atom_site_occupancy
Ce1 0.000 0.166 0.000 1
Nd1 0.000 0.000 0.500 1
Nd2 0.000 0.331 0.500 1
U1 0.000 0.500 0.000 1
P1 0.242 0.338 0.238 1
P2 0.245 0.500 0.762 1



# UCo10B3, optimized geometry, DFT PBE-GGA
# total DFT energy (no corrections)	-7.5521	eV per atom
# total magnetization	61.2	μB per cell
# DFT formation energy	-0.24	eV/atom
# Fermi-level density of states	0.78	states/eV/atom
data_UCo10B3
_symmetry_space_group_name_H-M 'F m -3 m'
_symmetry_Int_Tables_number 225
_symmetry_space_group_name_Hall '-F 4 2 3'
_cell_length_a 10.558
_cell_length_b 10.558
_cell_length_c 10.558
_cell_angle_alpha 90.00
_cell_angle_beta 90.00
_cell_angle_gamma 90.00
loop_
_atom_site_label
_atom_site_fract_x
_atom_site_fract_y
_atom_site_fract_z
_atom_site_occupancy
U1 0.250 0.250 0.250 1
Co1 0.000 0.167 0.167 1
Co2 0.117 0.117 0.383 1
B1 0.000 0.000 0.273 1